First-principles (GGA-PBE) data for an optimized crystal structure of TlCdB2, as listed in Alexandria via LeMat-Bulk.

Lattice parameters (Å, degrees): 5.8647 5.8647 5.8647 116.70 116.70 95.81
Fractional positions:
1 Tl 0.0000 0.0000 0.0000
2 Tl 0.7500 0.2500 0.5000
3 Cd 0.2500 0.7500 0.5000
4 Cd 0.5000 0.5000 0.0000
5 B 0.1315 0.6250 0.0065
6 B 0.3750 0.3815 0.5065
7 B 0.6185 0.1250 0.9935
8 B 0.8750 0.8685 0.4935

Output
**Energy above the most stable polymorph in this dataset**: 0.0 meV per atom
**Energy**: -21.2 eV/cell
**Total moment**: 0.00 μB/f.u.
**DOS at the Fermi energy**: 3.7 states/eV/cell
**DFT formation energy**: 6.015 eV per formula unit